No. 1
# La7Pr2Tm4, optimized geometry, DFT GGA-PBE
# Electronic total energy   -4.5913 eV/atom
# Magnetization   0.0 μB/cell
data_La7Pr2Tm4
_chemical_formula_sum 'La7 Pr2 Tm4'
_symmetry_space_group_name_H-M 'P 1'
_symmetry_Int_Tables_number 1
_symmetry_space_group_name_Hall 'P 1'
_cell_length_a 6.295
_cell_length_b 6.295
_cell_length_c 13.146
_cell_angle_alpha 90.00
_cell_angle_beta 90.00
_cell_angle_gamma 120.00
loop_
_atom_site_label
_atom_site_type_symbol
_atom_site_fract_x
_atom_site_fract_y
_atom_site_fract_z
La1 La 0.000 0.000 0.000
La2 La 0.000 0.384 0.233
La3 La 0.000 0.616 0.767
La4 La 0.384 0.000 0.233
La5 La 0.384 0.384 0.767
La6 La 0.616 0.000 0.767
La7 La 0.616 0.616 0.233
Pr1 Pr 0.333 0.667 0.000
Pr2 Pr 0.667 0.333 0.000
Tm1 Tm 0.000 0.000 0.391
Tm2 Tm 0.000 0.000 0.609
Tm3 Tm 0.333 0.667 0.500
Tm4 Tm 0.667 0.333 0.500

=====

No. 2
# Dy4InSb, optimized geometry, DFT GGA-PBE
# Raw formation energy   -0.324 eV/atom
# Electronic total energy   -4.5358 eV/atom
# Magnetization   0.0 μB/cell
data_Dy4InSb
_chemical_formula_sum 'Dy8 In2 Sb2'
_symmetry_space_group_name_H-M 'P 1'
_symmetry_Int_Tables_number 1
_symmetry_space_group_name_Hall 'P 1'
_cell_length_a 11.090
_cell_length_b 11.090
_cell_length_c 6.369
_cell_angle_alpha 90.00
_cell_angle_beta 90.00
_cell_angle_gamma 151.04
loop_
_atom_site_label
_atom_site_type_symbol
_atom_site_fract_x
_atom_site_fract_y
_atom_site_fract_z
Dy1 Dy 0.066 0.934 0.750
Dy2 Dy 0.209 0.791 0.501
Dy3 Dy 0.209 0.791 0.999
Dy4 Dy 0.366 0.634 0.750
Dy5 Dy 0.634 0.366 0.250
Dy6 Dy 0.791 0.209 0.001
Dy7 Dy 0.791 0.209 0.499
Dy8 Dy 0.934 0.066 0.250
In1 In 0.075 0.925 0.250
In2 In 0.925 0.075 0.750
Sb1 Sb 0.345 0.655 0.250
Sb2 Sb 0.655 0.345 0.750

=====

No. 3
# IrCl3, optimized geometry, DFT GGA-PBE
# Raw formation energy   0.094 eV/atom
# Electronic total energy   -3.5060 eV/atom
# Magnetization   0.0 μB/cell
data_IrCl3
_chemical_formula_sum 'Ir1 Cl3'
_symmetry_space_group_name_H-M 'P 1'
_symmetry_Int_Tables_number 1
_symmetry_space_group_name_Hall 'P 1'
_cell_length_a 7.089
_cell_length_b 7.089
_cell_length_c 7.089
_cell_angle_alpha 29.71
_cell_angle_beta 29.71
_cell_angle_gamma 29.71
loop_
_atom_site_label
_atom_site_type_symbol
_atom_site_fract_x
_atom_site_fract_y
_atom_site_fract_z
Ir1 Ir 0.000 0.000 0.000
Cl1 Cl 0.274 0.274 0.274
Cl2 Cl 0.500 0.500 0.500
Cl3 Cl 0.726 0.726 0.726

=====

No. 4
# La2PaAu, optimized geometry, DFT GGA-PBE
# ΔE to the lowest computed polymorph   0 meV/atom
# Electronic total energy   -5.8960 eV/atom
# Magnetization   0.0 μB/cell
data_La2PaAu
_chemical_formula_sum 'La2 Pa1 Au1'
_symmetry_space_group_name_H-M 'P 1'
_symmetry_Int_Tables_number 1
_symmetry_space_group_name_Hall 'P 1'
_cell_length_a 3.598
_cell_length_b 3.598
_cell_length_c 8.679
_cell_angle_alpha 90.00
_cell_angle_beta 90.00
_cell_angle_gamma 90.00
loop_
_atom_site_label
_atom_site_type_symbol
_atom_site_fract_x
_atom_site_fract_y
_atom_site_fract_z
La1 La 0.000 0.000 0.232
La2 La 0.000 0.000 0.768
Pa1 Pa 0.500 0.500 0.500
Au1 Au 0.500 0.500 0.000

=====

No. 5
# Tb2Tm, optimized geometry, DFT GGA-PBE
# ΔE to the lowest computed polymorph   240 meV/atom
# Electronic total energy   -4.3186 eV/atom
# Magnetization   0.0 μB/cell
data_Tb2Tm
_chemical_formula_sum 'Tb4 Tm2'
_symmetry_space_group_name_H-M 'P 1'
_symmetry_Int_Tables_number 1
_symmetry_space_group_name_Hall 'P 1'
_cell_length_a 6.518
_cell_length_b 6.518
_cell_length_c 6.518
_cell_angle_alpha 60.00
_cell_angle_beta 60.00
_cell_angle_gamma 60.00
loop_
_atom_site_label
_atom_site_type_symbol
_atom_site_fract_x
_atom_site_fract_y
_atom_site_fract_z
Tb1 Tb 0.000 0.000 0.000
Tb2 Tb 0.000 0.000 0.500
Tb3 Tb 0.000 0.500 0.000
Tb4 Tb 0.500 0.000 0.000
Tm1 Tm 0.375 0.375 0.375
Tm2 Tm 0.625 0.625 0.625

=====

No. 6
# Cs2Rb12Na5, optimized geometry, DFT GGA-PBE
# Electronic total energy   -1.0166 eV/atom
# Magnetization   0.0 μB/cell
data_Cs2Rb12Na5
_chemical_formula_sum 'Cs2 Rb12 Na5'
_symmetry_space_group_name_H-M 'P 1'
_symmetry_Int_Tables_number 1
_symmetry_space_group_name_Hall 'P 1'
_cell_length_a 11.390
_cell_length_b 11.390
_cell_length_c 12.194
_cell_angle_alpha 99.43
_cell_angle_beta 99.43
_cell_angle_gamma 82.30
loop_
_atom_site_label
_atom_site_type_symbol
_atom_site_fract_x
_atom_site_fract_y
_atom_site_fract_z
Cs1 Cs 0.174 0.826 0.000
Cs2 Cs 0.826 0.174 0.000
Rb1 Rb 0.121 0.121 0.690
Rb2 Rb 0.137 0.641 0.585
Rb3 Rb 0.153 0.470 0.183
Rb4 Rb 0.359 0.863 0.415
Rb5 Rb 0.403 0.403 0.834
Rb6 Rb 0.470 0.153 0.183
Rb7 Rb 0.530 0.847 0.817
Rb8 Rb 0.597 0.597 0.166
Rb9 Rb 0.641 0.137 0.585
Rb10 Rb 0.847 0.530 0.817
Rb11 Rb 0.863 0.359 0.415
Rb12 Rb 0.879 0.879 0.310
Na1 Na 0.118 0.118 0.276
Na2 Na 0.290 0.290 0.480
Na3 Na 0.500 0.500 0.500
Na4 Na 0.710 0.710 0.520
Na5 Na 0.882 0.882 0.724

=====

No. 7
# Pu3ZrU4As8, optimized geometry, DFT GGA-PBE
# Electronic total energy   -9.2561 eV/atom
# Magnetization   11.5 μB/cell
data_Pu3ZrU4As8
_chemical_formula_sum 'Pu3 Zr1 U4 As8'
_symmetry_space_group_name_H-M 'P 1'
_symmetry_Int_Tables_number 1
_symmetry_space_group_name_Hall 'P 1'
_cell_length_a 8.109
_cell_length_b 8.109
_cell_length_c 8.181
_cell_angle_alpha 119.83
_cell_angle_beta 119.83
_cell_angle_gamma 59.90
loop_
_atom_site_label
_atom_site_type_symbol
_atom_site_fract_x
_atom_site_fract_y
_atom_site_fract_z
Pu1 Pu 0.000 0.000 0.000
Pu2 Pu 0.000 0.500 0.000
Pu3 Pu 0.500 0.000 0.000
Zr1 Zr 0.500 0.500 0.000
U1 U 0.000 0.000 0.500
U2 U 0.000 0.500 0.500
U3 U 0.500 0.000 0.500
U4 U 0.500 0.500 0.500
As1 As 0.251 0.251 0.253
As2 As 0.254 0.743 0.752
As3 As 0.255 0.255 0.752
As4 As 0.257 0.746 0.248
As5 As 0.743 0.254 0.752
As6 As 0.745 0.745 0.248
As7 As 0.746 0.257 0.248
As8 As 0.749 0.749 0.747

=====

No. 8
# Pm2NdSm6Er3, optimized geometry, DFT GGA-PBE
# Electronic total energy   -4.6724 eV/atom
# Magnetization   0.0 μB/cell
data_Pm2NdSm6Er3
_chemical_formula_sum 'Pm2 Nd1 Sm6 Er3'
_symmetry_space_group_name_H-M 'P 1'
_symmetry_Int_Tables_number 1
_symmetry_space_group_name_Hall 'P 1'
_cell_length_a 6.250
_cell_length_b 6.250
_cell_length_c 11.928
_cell_angle_alpha 95.00
_cell_angle_beta 95.00
_cell_angle_gamma 119.99
loop_
_atom_site_label
_atom_site_type_symbol
_atom_site_fract_x
_atom_site_fract_y
_atom_site_fract_z
Pm1 Pm 0.167 0.833 0.000
Pm2 Pm 0.833 0.167 0.000
Nd1 Nd 0.500 0.500 0.000
Sm1 Sm 0.082 0.415 0.746
Sm2 Sm 0.251 0.251 0.254
Sm3 Sm 0.415 0.082 0.746
Sm4 Sm 0.585 0.918 0.254
Sm5 Sm 0.749 0.749 0.746
Sm6 Sm 0.918 0.585 0.254
Er1 Er 0.000 0.000 0.500
Er2 Er 0.333 0.667 0.500
Er3 Er 0.667 0.333 0.500

=====

No. 9
# Ti2CdInS, optimized geometry, DFT GGA-PBE
# Raw formation energy   1.027 eV/atom
# Electronic total energy   -3.6875 eV/atom
# Magnetization   4.0 μB/cell
data_Ti2CdInS
_chemical_formula_sum 'Ti2 Cd1 In1 S1'
_symmetry_space_group_name_H-M 'P 1'
_symmetry_Int_Tables_number 1
_symmetry_space_group_name_Hall 'P 1'
_cell_length_a 5.243
_cell_length_b 5.243
_cell_length_c 4.854
_cell_angle_alpha 90.00
_cell_angle_beta 90.00
_cell_angle_gamma 90.00
loop_
_atom_site_label
_atom_site_type_symbol
_atom_site_fract_x
_atom_site_fract_y
_atom_site_fract_z
Ti1 Ti 0.000 0.500 0.000
Ti2 Ti 0.500 0.000 0.000
Cd1 Cd 0.000 0.000 0.000
In1 In 0.500 0.500 0.500
S1 S 0.000 0.000 0.500

=====

No. 10
# Y2Ho2TmMg5, optimized geometry, DFT GGA-PBE
# Electronic total energy   -3.3699 eV/atom
# Magnetization   0.0 μB/cell
data_Y2Ho2TmMg5
_chemical_formula_sum 'Y4 Ho4 Tm2 Mg10'
_symmetry_space_group_name_H-M 'P 1'
_symmetry_Int_Tables_number 1
_symmetry_space_group_name_Hall 'P 1'
_cell_length_a 10.562
_cell_length_b 10.562
_cell_length_c 5.026
_cell_angle_alpha 90.00
_cell_angle_beta 90.00
_cell_angle_gamma 90.00
loop_
_atom_site_label
_atom_site_type_symbol
_atom_site_fract_x
_atom_site_fract_y
_atom_site_fract_z
Y1 Y 0.178 0.322 0.000
Y2 Y 0.322 0.822 0.000
Y3 Y 0.678 0.178 0.000
Y4 Y 0.822 0.678 0.000
Ho1 Ho 0.119 0.619 0.000
Ho2 Ho 0.381 0.119 0.000
Ho3 Ho 0.619 0.881 0.000
Ho4 Ho 0.881 0.381 0.000
Tm1 Tm 0.000 0.000 0.000
Tm2 Tm 0.500 0.500 0.000
Mg1 Mg 0.000 0.500 0.500
Mg2 Mg 0.068 0.803 0.500
Mg3 Mg 0.197 0.068 0.500
Mg4 Mg 0.303 0.568 0.500
Mg5 Mg 0.432 0.303 0.500
Mg6 Mg 0.500 0.000 0.500
Mg7 Mg 0.568 0.697 0.500
Mg8 Mg 0.697 0.432 0.500
Mg9 Mg 0.803 0.932 0.500
Mg10 Mg 0.932 0.197 0.500

=====

No. 11
# Be2ReTe, optimized geometry, DFT GGA-PBE
# Raw formation energy   0.706 eV/atom
# Electronic total energy   -5.0541 eV/atom
# Magnetization   0.0 μB/cell
data_Be2ReTe
_chemical_formula_sum 'Be2 Re1 Te1'
_symmetry_space_group_name_H-M 'P 1'
_symmetry_Int_Tables_number 1
_symmetry_space_group_name_Hall 'P 1'
_cell_length_a 4.705
_cell_length_b 4.705
_cell_length_c 4.705
_cell_angle_alpha 132.32
_cell_angle_beta 132.32
_cell_angle_gamma 69.73
loop_
_atom_site_label
_atom_site_type_symbol
_atom_site_fract_x
_atom_site_fract_y
_atom_site_fract_z
Be1 Be 0.250 0.750 0.500
Be2 Be 0.750 0.250 0.500
Re1 Re 0.000 0.000 0.000
Te1 Te 0.500 0.500 0.000